1.
The following is a GGA-PBE calculation of an optimized crystal structure of CaPm2Zn, from the Alexandria database.

Geometry as CIF:
```
data_CaPm2Zn
_symmetry_space_group_name_H-M 'P 1'
_symmetry_Int_Tables_number 1
_cell_length_a 4.168
_cell_length_b 5.311
_cell_length_c 5.311
_cell_angle_alpha 90.00
_cell_angle_beta 90.00
_cell_angle_gamma 90.00
loop_
_symmetry_equiv_pos_as_xyz
'x,y,z'
loop_
_atom_site_label
_atom_site_type_symbol
_atom_site_fract_x
_atom_site_fract_y
_atom_site_fract_z
Zn1 Zn 0.500 0.500 0.500
Ca1 Ca 0.500 0.000 0.000
Pm1 Pm 0.000 0.000 0.500
Pm2 Pm 0.000 0.500 0.000
```

* polymorph energy (0 for the lowest one): 133 meV/atom
* electronic total energy: -3.1788 eV/atom
* DOS(E_F): 0.821 states/eV/atom
* spin magnetization: 0.00 μB/f.u.
* calculated volume: 117.6 Å³/f.u.
* E_form: 0.0154 eV/atom

---

2.
The following is a GGA-PBE calculation of an optimized crystal structure of CaPmZn2, from the Alexandria database.

Geometry as CIF:
```
data_CaPmZn2
_symmetry_space_group_name_H-M 'P 1'
_symmetry_Int_Tables_number 1
_cell_length_a 3.656
_cell_length_b 5.189
_cell_length_c 5.189
_cell_angle_alpha 90.00
_cell_angle_beta 90.00
_cell_angle_gamma 90.00
loop_
_symmetry_equiv_pos_as_xyz
'x,y,z'
loop_
_atom_site_label
_atom_site_type_symbol
_atom_site_fract_x
_atom_site_fract_y
_atom_site_fract_z
Zn1 Zn 0.000 0.000 0.500
Zn2 Zn 0.000 0.500 0.000
Ca1 Ca 0.500 0.000 0.000
Pm1 Pm 0.500 0.500 0.500
```

* electronic total energy: -2.6187 eV/atom
* DOS(E_F): 0.523 states/eV/atom
* spin magnetization: 0.00 μB/f.u.
* calculated volume: 98.4 Å³/f.u.
* E_form: -0.2936 eV/atom

---

3.
The following is a GGA-PBE calculation of an optimized crystal structure of CaPmZn4, from the Alexandria database.

Geometry as CIF:
```
data_CaPmZn4
_symmetry_space_group_name_H-M 'P 1'
_symmetry_Int_Tables_number 1
_cell_length_a 5.551
_cell_length_b 5.551
_cell_length_c 5.551
_cell_angle_alpha 60.00
_cell_angle_beta 60.00
_cell_angle_gamma 60.00
loop_
_symmetry_equiv_pos_as_xyz
'x,y,z'
loop_
_atom_site_label
_atom_site_type_symbol
_atom_site_fract_x
_atom_site_fract_y
_atom_site_fract_z
Zn1 Zn 0.626 0.626 0.122
Zn2 Zn 0.626 0.122 0.626
Zn3 Zn 0.626 0.626 0.626
Zn4 Zn 0.122 0.626 0.626
Ca1 Ca 0.250 0.250 0.250
Pm1 Pm 0.000 0.000 0.000
```

* polymorph energy (0 for the lowest one): 39 meV/atom
* electronic total energy: -2.2587 eV/atom
* DOS(E_F): 0.583 states/eV/atom
* spin magnetization: 0.00 μB/f.u.
* calculated volume: 120.9 Å³/f.u.
* E_form: -0.2840 eV/atom

---

4.
The following is a GGA-PBE calculation of an optimized crystal structure of Ca2PmZn, from the Alexandria database.

Geometry as CIF:
```
data_Ca2PmZn
_symmetry_space_group_name_H-M 'P 1'
_symmetry_Int_Tables_number 1
_cell_length_a 3.767
_cell_length_b 3.767
_cell_length_c 10.865
_cell_angle_alpha 80.02
_cell_angle_beta 80.02
_cell_angle_gamma 60.00
loop_
_symmetry_equiv_pos_as_xyz
'x,y,z'
loop_
_atom_site_label
_atom_site_type_symbol
_atom_site_fract_x
_atom_site_fract_y
_atom_site_fract_z
Ca1 Ca 0.070 0.070 0.791
Ca2 Ca 0.263 0.263 0.210
Pm1 Pm 0.501 0.501 0.498
Zn1 Zn 0.666 0.666 0.002
```

* polymorph energy (0 for the lowest one): 98 meV/atom
* electronic total energy: -2.4929 eV/atom
* DOS(E_F): 1.038 states/eV/atom
* spin magnetization: 0.00 μB/f.u.
* calculated volume: 130.8 Å³/f.u.
* E_form: 0.0141 eV/atom

---

5.
The following is a GGA-PBE calculation of an optimized crystal structure of Ca2PmZn6, from the Alexandria database.

Geometry as CIF:
```
data_Ca2PmZn6
_symmetry_space_group_name_H-M 'P 1'
_symmetry_Int_Tables_number 1
_cell_length_a 3.717
_cell_length_b 7.815
_cell_length_c 7.813
_cell_angle_alpha 120.01
_cell_angle_beta 90.00
_cell_angle_gamma 90.00
loop_
_symmetry_equiv_pos_as_xyz
'x,y,z'
loop_
_atom_site_label
_atom_site_type_symbol
_atom_site_fract_x
_atom_site_fract_y
_atom_site_fract_z
Ca1 Ca 0.000 0.334 0.667
Ca2 Ca 0.000 0.666 0.333
Pm1 Pm 0.000 0.000 0.000
Zn1 Zn 0.500 0.334 0.334
Zn2 Zn 0.500 0.666 0.666
Zn3 Zn 0.500 0.000 0.666
Zn4 Zn 0.500 0.666 0.000
Zn5 Zn 0.500 0.334 0.000
Zn6 Zn 0.500 0.000 0.334
```

* electronic total energy: -2.1210 eV/atom
* DOS(E_F): 0.683 states/eV/atom
* spin magnetization: 0.00 μB/f.u.
* calculated volume: 196.5 Å³/f.u.
* E_form: -0.2991 eV/atom

---

6.
The following is a GGA-PBE calculation of an optimized crystal structure of CaPm2Zn8, from the Alexandria database.

Geometry as CIF:
```
data_CaPm2Zn8
_symmetry_space_group_name_H-M 'P 1'
_symmetry_Int_Tables_number 1
_cell_length_a 4.443
_cell_length_b 6.904
_cell_length_c 8.376
_cell_angle_alpha 114.34
_cell_angle_beta 105.38
_cell_angle_gamma 90.00
loop_
_symmetry_equiv_pos_as_xyz
'x,y,z'
loop_
_atom_site_label
_atom_site_type_symbol
_atom_site_fract_x
_atom_site_fract_y
_atom_site_fract_z
Ca1 Ca 0.500 0.000 0.000
Pm1 Pm 0.636 0.636 0.273
Pm2 Pm 0.364 0.364 0.727
Zn1 Zn 0.165 0.352 0.330
Zn2 Zn 0.835 0.023 0.670
Zn3 Zn 0.000 0.318 0.000
Zn4 Zn 0.716 0.216 0.432
Zn5 Zn 0.284 0.784 0.568
Zn6 Zn 0.000 0.682 0.000
Zn7 Zn 0.165 0.977 0.330
Zn8 Zn 0.835 0.648 0.670
```

* electronic total energy: -2.2777 eV/atom
* DOS(E_F): 0.789 states/eV/atom
* spin magnetization: 0.00 μB/f.u.
* calculated volume: 224.0 Å³/f.u.
* E_form: -0.3055 eV/atom

---

7.
The following is a GGA-PBE calculation of an optimized crystal structure of CaPm4Zn5, from the Alexandria database.

Geometry as CIF:
```
data_CaPm4Zn5
_symmetry_space_group_name_H-M 'P 1'
_symmetry_Int_Tables_number 1
_cell_length_a 3.660
_cell_length_b 3.660
_cell_length_c 18.362
_cell_angle_alpha 90.00
_cell_angle_beta 90.00
_cell_angle_gamma 90.00
loop_
_symmetry_equiv_pos_as_xyz
'x,y,z'
loop_
_atom_site_label
_atom_site_type_symbol
_atom_site_fract_x
_atom_site_fract_y
_atom_site_fract_z
Ca1 Ca 0.000 0.000 0.000
Pm1 Pm 0.000 0.000 0.201
Pm2 Pm 0.000 0.000 0.400
Pm3 Pm 0.000 0.000 0.600
Pm4 Pm 0.000 0.000 0.799
Zn1 Zn 0.500 0.500 0.105
Zn2 Zn 0.500 0.500 0.301
Zn3 Zn 0.500 0.500 0.500
Zn4 Zn 0.500 0.500 0.699
Zn5 Zn 0.500 0.500 0.895
```

* electronic total energy: -3.0421 eV/atom
* DOS(E_F): 0.971 states/eV/atom
* spin magnetization: 0.00 μB/f.u.
* calculated volume: 245.9 Å³/f.u.
* E_form: -0.3047 eV/atom

---

8.
The following is a GGA-PBE calculation of an optimized crystal structure of CaPmZn2, from the Alexandria database.

Geometry as CIF:
```
data_CaPmZn2
_symmetry_space_group_name_H-M 'P 1'
_symmetry_Int_Tables_number 1
_cell_length_a 5.172
_cell_length_b 5.172
_cell_length_c 5.172
_cell_angle_alpha 60.00
_cell_angle_beta 60.00
_cell_angle_gamma 60.00
loop_
_symmetry_equiv_pos_as_xyz
'x,y,z'
loop_
_atom_site_label
_atom_site_type_symbol
_atom_site_fract_x
_atom_site_fract_y
_atom_site_fract_z
Zn1 Zn 0.000 0.000 0.000
Zn2 Zn 0.500 0.500 0.500
Ca1 Ca 0.750 0.750 0.750
Pm1 Pm 0.250 0.250 0.250
```

* electronic total energy: -2.6269 eV/atom
* DOS(E_F): 0.923 states/eV/atom
* spin magnetization: 0.00 μB/f.u.
* calculated volume: 97.8 Å³/f.u.
* E_form: -0.3019 eV/atom

---

9.
The following is a GGA-PBE calculation of an optimized crystal structure of Ca3PmZn4, from the Alexandria database.

Geometry as CIF:
```
data_Ca3PmZn4
_symmetry_space_group_name_H-M 'P 1'
_symmetry_Int_Tables_number 1
_cell_length_a 5.187
_cell_length_b 5.187
_cell_length_c 8.999
_cell_angle_alpha 73.25
_cell_angle_beta 73.25
_cell_angle_gamma 60.00
loop_
_symmetry_equiv_pos_as_xyz
'x,y,z'
loop_
_atom_site_label
_atom_site_type_symbol
_atom_site_fract_x
_atom_site_fract_y
_atom_site_fract_z
Ca1 Ca 0.248 0.248 0.255
Ca2 Ca 0.752 0.752 0.745
Ca3 Ca 0.500 0.500 0.500
Zn1 Zn 0.876 0.876 0.371
Zn2 Zn 0.374 0.374 0.878
Zn3 Zn 0.124 0.124 0.629
Zn4 Zn 0.626 0.626 0.122
Pm1 Pm 0.000 0.000 0.000
```

* electronic total energy: -2.2447 eV/atom
* DOS(E_F): 0.808 states/eV/atom
* spin magnetization: 0.00 μB/f.u.
* calculated volume: 197.8 Å³/f.u.
* E_form: -0.2633 eV/atom

---

10.
The following is a GGA-PBE calculation of an optimized crystal structure of Ca2PmZn, from the Alexandria database.

Geometry as CIF:
```
data_Ca2PmZn
_symmetry_space_group_name_H-M 'P 1'
_symmetry_Int_Tables_number 1
_cell_length_a 3.623
_cell_length_b 3.623
_cell_length_c 11.874
_cell_angle_alpha 81.23
_cell_angle_beta 81.23
_cell_angle_gamma 60.00
loop_
_symmetry_equiv_pos_as_xyz
'x,y,z'
loop_
_atom_site_label
_atom_site_type_symbol
_atom_site_fract_x
_atom_site_fract_y
_atom_site_fract_z
Zn1 Zn 0.500 0.500 0.500
Ca1 Ca 0.101 0.101 0.696
Ca2 Ca 0.899 0.899 0.304
Pm1 Pm 0.000 0.000 0.000
```

* polymorph energy (0 for the lowest one): 238 meV/atom
* electronic total energy: -2.3527 eV/atom
* DOS(E_F): 1.356 states/eV/atom
* spin magnetization: 0.00 μB/f.u.
* calculated volume: 132.9 Å³/f.u.
* E_form: 0.1542 eV/atom

---

11.
The following is a GGA-PBE calculation of an optimized crystal structure of CaPm3Zn2, from the Alexandria database.

Geometry as CIF:
```
data_CaPm3Zn2
_symmetry_space_group_name_H-M 'P 1'
_symmetry_Int_Tables_number 1
_cell_length_a 5.184
_cell_length_b 6.943
_cell_length_c 9.369
_cell_angle_alpha 90.00
_cell_angle_beta 90.00
_cell_angle_gamma 90.00
loop_
_symmetry_equiv_pos_as_xyz
'x,y,z'
loop_
_atom_site_label
_atom_site_type_symbol
_atom_site_fract_x
_atom_site_fract_y
_atom_site_fract_z
Ca1 Ca 0.500 0.514 0.557
Ca2 Ca 0.500 0.014 0.443
Pm1 Pm 0.000 0.490 0.942
Pm2 Pm 0.000 0.990 0.058
Pm3 Pm 0.500 0.663 0.169
Pm4 Pm 0.500 0.163 0.831
Pm5 Pm 0.000 0.335 0.332
Pm6 Pm 0.000 0.835 0.668
Zn1 Zn 0.500 0.730 0.849
Zn2 Zn 0.500 0.230 0.151
Zn3 Zn 0.000 0.269 0.654
Zn4 Zn 0.000 0.769 0.346
```

* electronic total energy: -3.3148 eV/atom
* DOS(E_F): 0.978 states/eV/atom
* spin magnetization: 0.00 μB/f.u.
* calculated volume: 168.6 Å³/f.u.
* E_form: -0.1812 eV/atom

---

12.
The following is a GGA-PBE calculation of an optimized crystal structure of Ca2PmZn, from the Alexandria database.

Geometry as CIF:
```
data_Ca2PmZn
_symmetry_space_group_name_H-M 'P 1'
_symmetry_Int_Tables_number 1
_cell_length_a 3.663
_cell_length_b 7.196
_cell_length_c 10.002
_cell_angle_alpha 90.00
_cell_angle_beta 90.00
_cell_angle_gamma 104.75
loop_
_symmetry_equiv_pos_as_xyz
'x,y,z'
loop_
_atom_site_label
_atom_site_type_symbol
_atom_site_fract_x
_atom_site_fract_y
_atom_site_fract_z
Ca1 Ca 0.362 0.724 0.561
Ca2 Ca 0.638 0.276 0.439
Ca3 Ca 0.362 0.724 0.939
Ca4 Ca 0.638 0.276 0.061
Pm1 Pm 0.941 0.882 0.250
Pm2 Pm 0.059 0.118 0.750
Zn1 Zn 0.734 0.467 0.750
Zn2 Zn 0.266 0.533 0.250
```

* polymorph energy (0 for the lowest one): 0 meV/atom
* electronic total energy: -2.5904 eV/atom
* DOS(E_F): 1.046 states/eV/atom
* spin magnetization: 0.00 μB/f.u.
* calculated volume: 127.5 Å³/f.u.
* E_form: -0.0835 eV/atom

---

13.
The following is a GGA-PBE calculation of an optimized crystal structure of CaPm2Zr, from the Alexandria database.

Geometry as CIF:
```
data_CaPm2Zr
_symmetry_space_group_name_H-M 'P 1'
_symmetry_Int_Tables_number 1
_cell_length_a 3.494
_cell_length_b 3.494
_cell_length_c 12.527
_cell_angle_alpha 81.98
_cell_angle_beta 81.98
_cell_angle_gamma 60.00
loop_
_symmetry_equiv_pos_as_xyz
'x,y,z'
loop_
_atom_site_label
_atom_site_type_symbol
_atom_site_fract_x
_atom_site_fract_y
_atom_site_fract_z
Ca1 Ca 0.000 0.000 0.000
Zr1 Zr 0.500 0.500 0.500
Pm1 Pm 0.095 0.095 0.716
Pm2 Pm 0.905 0.905 0.284
```

* polymorph energy (0 for the lowest one): 94 meV/atom
* electronic total energy: -4.8070 eV/atom
* DOS(E_F): 1.362 states/eV/atom
* spin magnetization: 0.00 μB/f.u.
* calculated volume: 130.7 Å³/f.u.
* E_form: 0.2058 eV/atom